Material: MnAs2
Method: DFT, PBE-GGA
State: relaxed

```
data_MnAs2
_chemical_formula_sum 'Mn4 As8'
_cell_length_a 3.405
_cell_length_b 12.512
_cell_length_c 4.619
_cell_angle_alpha 90.00
_cell_angle_beta 90.00
_cell_angle_gamma 90.00
_space_group_name_H-M_alt 'C m c m'
_space_group_IT_number 63
_space_group_name_Hall '-C 2c 2'
loop_
_atom_site_label
_atom_site_type_symbol
_atom_site_fract_x
_atom_site_fract_y
_atom_site_fract_z
_atom_site_occupancy
Mn1 Mn 0.000 0.108 0.250 1
As1 As 0.000 0.238 0.750 1
As2 As 0.000 0.447 0.250 1
```

DOS(E_F), states/eV/cell: 5.7
Formation energy, eV per atom: 0.15